This record from Alexandria via LeMat-Bulk describes SrZnCr2 after structural relaxation. The functional is PBE-GGA.

Cell and atoms, written as POSCAR:
```
SrZnCr2
1.0
-2.172 3.927 0.776
-3.390 0.172 3.037
1.806 2.590 5.276
Sr Zn Cr
1 1 2
Direct
0.250 0.250 0.250 Sr
0.750 0.750 0.750 Zn
0.054 0.054 0.838 Cr
0.446 0.446 0.662 Cr
```

Computed properties:
* DOS(E_F): 2.5 states/eV/f.u.
* energy of formation from the pure elements: 14.09 kcal/mol of atoms